1.
A geometry-optimized Zr2ZnAg structure. Source: the Alexandria database, functional PBE-GGA.

Values from the calculation:
D(E_F), states/eV per atom: 1.102
E, eV per atom: -5.440
DFT formation energy, kJ per mole of atoms: -13.0

a = 3.1284 Å, b = 3.1284 Å, c = 7.9396 Å
α = 90.00°, β = 90.00°, γ = 90.00°
With the nearest neighbours (Å) after each atom.
Fractional positions:
Zr1 0.0000 0.0000 0.2374  4 Zn 2.91, 4 Ag 3.04, 4 Zr 3.13
Zr2 0.0000 0.0000 0.7626  4 Zn 2.91, 4 Ag 3.04, 4 Zr 3.13
Zn1 0.5000 0.5000 0.0000  8 Zr 2.91, 4 Zn 3.13
Ag1 0.5000 0.5000 0.5000  8 Zr 3.04, 4 Ag 3.13



2.
A geometry-optimized Zr3ZnAg structure. Source: the Alexandria database, functional PBE-GGA.

Values from the calculation:
D(E_F), states/eV per atom: 2.099
E, eV per atom: -5.276
Excess energy over the best structure of this formula in the dataset, eV/atom: 0.000
DFT formation energy, kJ per mole of atoms: 65.4

a = 4.9694 Å, b = 4.9694 Å, c = 4.9694 Å
α = 90.00°, β = 90.00°, γ = 90.00°
With the nearest neighbours (Å) after each atom.
Fractional positions:
Zr1 0.0000 0.0000 0.5000  2 Zn 2.48
Zr2 0.0000 0.5000 0.0000  2 Zn 2.48
Zr3 0.5000 0.0000 0.0000  2 Zn 2.48
Zn1 0.0000 0.0000 0.0000  6 Zr 2.48
Ag1 0.5000 0.5000 0.5000  12 Zr 3.51



What did the first record say?
A geometry-optimized Zr2ZnAg structure. Source: the Alexandria database, functional PBE-GGA.

Values from the calculation:
D(E_F), states/eV per atom: 1.102
E, eV per atom: -5.440
DFT formation energy, kJ per mole of atoms: -13.0

a = 3.1284 Å, b = 3.1284 Å, c = 7.9396 Å
α = 90.00°, β = 90.00°, γ = 90.00°
With the nearest neighbours (Å) after each atom.
Fractional positions:
Zr1 0.0000 0.0000 0.2374  4 Zn 2.91, 4 Ag 3.04, 4 Zr 3.13
Zr2 0.0000 0.0000 0.7626  4 Zn 2.91, 4 Ag 3.04, 4 Zr 3.13
Zn1 0.5000 0.5000 0.0000  8 Zr 2.91, 4 Zn 3.13
Ag1 0.5000 0.5000 0.5000  8 Zr 3.04, 4 Ag 3.13